(1)
The following is a PBE calculation of a geometry-optimized Rb2ErAlO4 structure, from Alexandria.

Lattice parameters (Å, degrees): 5.4961 12.5178 22.5759 90.00 90.00 90.00
Closest atoms and distances in Å follow each position.
Space group Fddd (No. 70, origin choice 2)
One atom of each set of equivalent atoms:
1 Rb 0.1250 0.1250 0.3089 (multiplicity 16)  4 O 3.17-3.32
2 Er 0.1250 0.1250 0.1250 (multiplicity 8)  4 O 2.11
3 Al 0.1250 0.1250 0.6250 (multiplicity 8)  4 O 1.81
4 O 0.0859 0.2902 0.8352 (multiplicity 32)  1 Al 1.81

---

(2)
The following is a PBE calculation of a geometry-optimized Rb4Er3AlO8 structure, from Alexandria.

Lattice parameters (Å, degrees): 6.7463 6.7463 19.5143 90.00 90.00 120.00
Closest atoms and distances in Å follow each position.
Space group R-3m (No. 166, hexagonal axes)
One atom of each set of equivalent atoms:
1 Rb 0.0000 0.0000 0.0000 (multiplicity 3)  6 O 3.01, 6 Rb 3.37
2 Rb 0.0000 0.5000 0.0000 (multiplicity 9)  6 O 2.87
3 Er 0.0000 0.5000 0.5000 (multiplicity 9)  6 O 2.26-2.30
4 Al 0.0000 0.0000 0.5000 (multiplicity 3)  6 O 2.10
5 O 0.0000 0.0000 0.2250 (multiplicity 6)  3 Er 2.26
6 O 0.0254 0.5127 0.2224 (multiplicity 18)  1 Al 2.10, 2 Er 2.30

---

Computed magnetization, in the same sequence as the records: 0.0000; 0.0000 μB/atom.
Computed DOS at the Fermi energy, in the same sequence as the records: 0.0000; 0.0000 states/eV/atom.
Computed formation energy (no corrections), in the same sequence as the records: -2.270; -2.517 eV/atom.